DFT (GGA-PBE) results for TbDyMgGe after structural relaxation.

Cell and atoms, written as CIF:
```
data_TbDyMgGe
_cell_length_a 7.271
_cell_length_b 7.271
_cell_length_c 7.271
_cell_angle_alpha 90.00
_cell_angle_beta 90.00
_cell_angle_gamma 90.00
_space_group_name_H-M_alt 'F -4 3 m'
_space_group_IT_number 216
_space_group_name_Hall 'F -4 2 3'
loop_
_atom_site_label
_atom_site_fract_x
_atom_site_fract_y
_atom_site_fract_z
_atom_site_occupancy
Tb1 0.000 0.000 0.000 1
Dy1 0.000 0.000 0.500 1
Mg1 0.250 0.250 0.250 1
Ge1 0.250 0.250 0.750 1
```

DFT (GGA-PBE) results for DyYMgGe after structural relaxation.

Cell and atoms, written as CIF:
```
data_DyYMgGe
_cell_length_a 7.265
_cell_length_b 7.265
_cell_length_c 7.265
_cell_angle_alpha 90.00
_cell_angle_beta 90.00
_cell_angle_gamma 90.00
_space_group_name_H-M_alt 'F -4 3 m'
_space_group_IT_number 216
_space_group_name_Hall 'F -4 2 3'
loop_
_atom_site_label
_atom_site_fract_x
_atom_site_fract_y
_atom_site_fract_z
_atom_site_occupancy
Dy1 0.000 0.000 0.000 1
Y1 0.000 0.000 0.500 1
Mg1 0.250 0.250 0.750 1
Ge1 0.250 0.250 0.250 1
```

DFT (GGA-PBE) results for DyMg2Zn2Ge2 after structural relaxation.

Cell and atoms, written as CIF:
```
data_DyMg2Zn2Ge2
_cell_length_a 4.5067
_cell_length_b 4.5067
_cell_length_c 22.9951
_cell_angle_alpha 90.00
_cell_angle_beta 90.00
_cell_angle_gamma 120.00
_space_group_name_H-M_alt 'R -3 m'
_space_group_IT_number 166
_space_group_name_Hall '-R 3 2"'
loop_
_atom_site_label
_atom_site_fract_x
_atom_site_fract_y
_atom_site_fract_z
_atom_site_occupancy
Dy1 0.0000 0.0000 0.0000 1
Mg1 0.0000 0.0000 0.1383 1
Zn1 0.0000 0.0000 0.4355 1
Ge1 0.0000 0.0000 0.2598 1
```

DFT (GGA-PBE) results for DyMgZnGe after structural relaxation.

Cell and atoms, written as CIF:
```
data_DyMgZnGe
_cell_length_a 6.898
_cell_length_b 6.898
_cell_length_c 6.898
_cell_angle_alpha 90.00
_cell_angle_beta 90.00
_cell_angle_gamma 90.00
_space_group_name_H-M_alt 'F -4 3 m'
_space_group_IT_number 216
_space_group_name_Hall 'F -4 2 3'
loop_
_atom_site_label
_atom_site_fract_x
_atom_site_fract_y
_atom_site_fract_z
_atom_site_occupancy
Dy1 0.000 0.000 0.000 1
Mg1 0.000 0.000 0.500 1
Zn1 0.250 0.250 0.750 1
Ge1 0.250 0.250 0.250 1
```

DFT (GGA-PBE) results for DyMnGe after structural relaxation.

Cell and atoms, written as CIF:
```
data_DyMnGe
_cell_length_a 4.3161
_cell_length_b 4.3161
_cell_length_c 3.7716
_cell_angle_alpha 90.00
_cell_angle_beta 90.00
_cell_angle_gamma 120.00
_space_group_name_H-M_alt 'P -6 m 2'
_space_group_IT_number 187
_space_group_name_Hall 'P -6 2'
loop_
_atom_site_label
_atom_site_fract_x
_atom_site_fract_y
_atom_site_fract_z
_atom_site_occupancy
Dy1 0.0000 0.0000 0.0000 1
Mn1 0.3333 0.6667 0.5000 1
Ge1 0.6667 0.3333 0.5000 1
```

DFT (GGA-PBE) results for Dy4MnGe8 after structural relaxation.

Cell and atoms, written as CIF:
```
data_Dy4MnGe8
_cell_length_a 4.009
_cell_length_b 4.172
_cell_length_c 16.021
_cell_angle_alpha 90.00
_cell_angle_beta 90.00
_cell_angle_gamma 90.00
_space_group_name_H-M_alt 'P m m 2'
_space_group_IT_number 25
_space_group_name_Hall 'P 2 -2'
loop_
_atom_site_label
_atom_site_fract_x
_atom_site_fract_y
_atom_site_fract_z
_atom_site_occupancy
Dy1 0.000 0.000 0.000 1
Dy2 0.000 0.500 0.491 1
Dy3 0.500 0.000 0.789 1
Dy4 0.500 0.500 0.288 1
Mn1 0.000 0.500 0.704 1
Ge1 0.000 0.000 0.334 1
Ge2 0.000 0.000 0.631 1
Ge3 0.000 0.500 0.141 1
Ge4 0.000 0.500 0.853 1
Ge5 0.500 0.000 0.147 1
Ge6 0.500 0.000 0.441 1
Ge7 0.500 0.500 0.625 1
Ge8 0.500 0.500 0.957 1
```

DFT (GGA-PBE) results for DyMnGe after structural relaxation.

Cell and atoms, written as CIF:
```
data_DyMnGe
_cell_length_a 7.066
_cell_length_b 4.109
_cell_length_c 7.906
_cell_angle_alpha 90.00
_cell_angle_beta 90.00
_cell_angle_gamma 90.00
_space_group_name_H-M_alt 'P n m a'
_space_group_IT_number 62
_space_group_name_Hall '-P 2ac 2n'
loop_
_atom_site_label
_atom_site_fract_x
_atom_site_fract_y
_atom_site_fract_z
_atom_site_occupancy
Dy1 0.022 0.250 0.182 1
Mn1 0.132 0.250 0.555 1
Ge1 0.224 0.750 0.382 1
```

DFT (GGA-PBE) results for DyMn3Ge3 after structural relaxation.

## Properties
distance to the lowest polymorph of the same formula: 0.00 eV per formula unit

Cell and atoms, written as CIF:
```
data_DyMn3Ge3
_cell_length_a 6.641
_cell_length_b 6.641
_cell_length_c 6.641
_cell_angle_alpha 90.00
_cell_angle_beta 90.00
_cell_angle_gamma 90.00
_space_group_name_H-M_alt 'P m -3 n'
_space_group_IT_number 223
_space_group_name_Hall '-P 4n 2 3'
loop_
_atom_site_label
_atom_site_fract_x
_atom_site_fract_y
_atom_site_fract_z
_atom_site_occupancy
Dy1 0.000 0.000 0.000 1
Mn1 0.000 0.250 0.500 1
Ge1 0.000 0.500 0.250 1
```

For each record above, in turn, the calculated Fermi-level density of states values are 0.859, 0.884, 0.360, 0.778, 0.997, 0.508, 1.104, 1.525 states/eV/atom.
For each record above, in turn, the calculated formation energy values are -34, -35, -24, -32, -37, -55, -47, 30 kJ per mole of atoms.